No. 1
A relaxed structure of La2TlPb, computed with GGA-PBE.

Cell lengths 9.881, 9.881, 9.881 Å; angles 23.93, 23.93, 23.93 degrees
Atoms (fractional coordinates):
1 La 0.000 0.000 0.000
2 La 0.500 0.500 0.500
3 Pb 0.250 0.250 0.250
4 Tl 0.750 0.750 0.750

Output
For the total energy, the calculation gives -17.3 eV/cell. The formation energy is -132 kJ/mol of formula units.


No. 2
A relaxed structure of La2TlPb, computed with GGA-PBE.

Cell lengths 4.570, 3.686, 8.342 Å; angles 63.61, 90.00, 90.00 degrees
Atoms (fractional coordinates):
1 Pb 0.500 0.250 0.250
2 Tl 0.500 0.750 0.750
3 La 0.000 0.000 0.000
4 La 0.000 0.500 0.500

Output
For the total energy, the calculation gives -18.0 eV/cell. The formation energy is -199 kJ/mol of formula units.


No. 3
A relaxed structure of La2Tl3Pb, computed with GGA-PBE.

Cell lengths 3.689, 5.358, 9.246 Å; angles 90.00, 90.00, 90.00 degrees
Atoms (fractional coordinates):
1 La 0.000 0.500 0.998
2 La 0.000 0.000 0.502
3 Tl 0.500 0.000 0.832
4 Tl 0.500 0.000 0.163
5 Tl 0.500 0.500 0.671
6 Pb 0.500 0.500 0.334

Output
For the total energy, the calculation gives -22.6 eV/cell. The formation energy is -186 kJ/mol of formula units.


No. 4
A relaxed structure of La10Tl3Pb3, computed with GGA-PBE.

Cell lengths 7.080, 9.557, 9.557 Å; angles 120.00, 90.00, 90.00 degrees
Atoms (fractional coordinates):
1 La 0.251 0.667 0.333
2 La 0.251 0.333 0.667
3 La 0.749 0.333 0.667
4 La 0.749 0.667 0.333
5 La 0.500 0.000 0.758
6 La 0.500 0.758 0.000
7 La 0.500 0.242 0.242
8 La 0.000 0.000 0.238
9 La 0.000 0.238 0.000
10 La 0.000 0.762 0.762
11 Tl 0.000 0.000 0.600
12 Tl 0.000 0.600 0.000
13 Tl 0.000 0.400 0.400
14 Pb 0.500 0.000 0.394
15 Pb 0.500 0.394 0.000
16 Pb 0.500 0.606 0.606

Output
For the total energy, the calculation gives -74.4 eV/cell. The formation energy is -664 kJ/mol of formula units.


No. 5
A relaxed structure of La5Tl6Pb, computed with GGA-PBE.

Cell lengths 5.094, 9.399, 9.408 Å; angles 119.97, 105.71, 90.00 degrees
Atoms (fractional coordinates):
1 Pb 0.000 0.000 0.000
2 Tl 0.830 0.573 0.659
3 Tl 0.830 0.086 0.659
4 Tl 0.500 0.734 0.000
5 Tl 0.500 0.266 0.000
6 Tl 0.170 0.914 0.341
7 Tl 0.170 0.427 0.341
8 La 0.646 0.146 0.292
9 La 0.328 0.328 0.656
10 La 0.000 0.500 0.000
11 La 0.672 0.672 0.344
12 La 0.354 0.854 0.708

Output
For the total energy, the calculation gives -47.2 eV/cell. The formation energy is -453 kJ/mol of formula units.


No. 6
A relaxed structure of La3TlPb3, computed with GGA-PBE.

Cell lengths 5.984, 9.280, 9.280 Å; angles 120.00, 90.00, 90.00 degrees
Atoms (fractional coordinates):
1 La 0.750 0.640 0.553
2 La 0.750 0.447 0.087
3 La 0.750 0.913 0.360
4 La 0.250 0.360 0.447
5 La 0.250 0.553 0.913
6 La 0.250 0.087 0.640
7 Tl 0.250 0.667 0.333
8 Tl 0.750 0.333 0.667
9 Pb 0.250 0.804 0.750
10 Pb 0.250 0.250 0.054
11 Pb 0.250 0.946 0.196
12 Pb 0.750 0.196 0.250
13 Pb 0.750 0.750 0.946
14 Pb 0.750 0.054 0.804

Output
For the total energy, the calculation gives -61.4 eV/cell. The formation energy is -235 kJ/mol of formula units.


No. 7
A relaxed structure of La4TlPb2, computed with GGA-PBE.

Cell lengths 6.162, 6.162, 7.956 Å; angles 112.79, 112.79, 90.00 degrees
Atoms (fractional coordinates):
1 La 0.750 0.250 0.500
2 La 0.250 0.750 0.500
3 La 0.500 0.000 0.000
4 La 0.000 0.500 0.000
5 Tl 0.000 0.000 0.000
6 Pb 0.628 0.628 0.257
7 Pb 0.372 0.372 0.743

Output
For the total energy, the calculation gives -31.0 eV/cell. The formation energy is -145 kJ/mol of formula units.


No. 8
A relaxed structure of La6Tl5Pb, computed with GGA-PBE.

Cell lengths 5.673, 7.880, 9.815 Å; angles 113.67, 107.22, 90.00 degrees
Atoms (fractional coordinates):
1 Pb 0.000 0.000 0.000
2 Tl 0.672 0.172 0.343
3 Tl 0.334 0.334 0.669
4 Tl 0.000 0.500 0.000
5 Tl 0.666 0.666 0.331
6 Tl 0.328 0.828 0.657
7 La 0.834 0.586 0.668
8 La 0.834 0.083 0.668
9 La 0.500 0.753 0.000
10 La 0.500 0.247 0.000
11 La 0.166 0.917 0.332
12 La 0.166 0.414 0.332

Output
For the total energy, the calculation gives -50.5 eV/cell. The formation energy is -523 kJ/mol of formula units.